1.
Below is PuMoPt after structural relaxation, with properties calculated at the PBE level.

Summary:
energy of formation from the pure elements	0.744	eV/atom
magnetic moment	0.0	μB per cell
polymorph energy (0 for the lowest one)	95	meV/atom
calculated total energy	-9.60	eV/atom

Unit cell a=4.4269 b=4.4269 c=4.4269 alpha=60.00 beta=60.00 gamma=60.00
Fractional positions:
1 Mo 0.5000 0.5000 0.5000
2 Pt 0.0000 0.0000 0.0000
3 Pu 0.2500 0.2500 0.2500

---

2.
Below is TmBeAl after structural relaxation, with properties calculated at the PBE level.

Summary:
magnetic moment	0.0	μB per cell
polymorph energy (0 for the lowest one)	0	meV/atom
calculated total energy	-4.16	eV/atom

Unit cell a=4.3190 b=4.3190 c=4.3190 alpha=60.00 beta=60.00 gamma=60.00
Fractional positions:
1 Al 0.2500 0.2500 0.2500
2 Be 0.0000 0.0000 0.0000
3 Tm 0.7500 0.7500 0.7500